Version P
The following is a DFT calculation (SCAN) of a crystal of TlAgIr relaxed with PBEsol.

Calculated values
- V (Å³ per atom) = 17.4
- Fermi-level density of states (states/eV per cell) = 3.9

Cell: 3.0096 4.0276 8.5930 Å, 90.00 90.00 90.00°
Space group Imm2 (No. 44)
One atom of each set of equivalent atoms:
Tl 0.0000 0.0000 0.0000 [2 per cell]
Ag 0.0000 0.0000 0.3242 [2 per cell]
Ir 0.0000 0.0000 0.6620 [2 per cell]



Version Q
The following is a DFT calculation (SCAN) of a crystal of TlAgIr relaxed with PBEsol.

Calculated values
- V (Å³ per atom) = 17.9
- Fermi-level density of states (states/eV per cell) = 3.6

Cell: 3.0038 5.0444 14.1799 Å, 90.00 90.00 90.00°
Space group Fmm2 (No. 42)
One atom of each set of equivalent atoms:
Tl 0.0000 0.0000 0.0000 [4 per cell]
Ag 0.0000 0.0000 0.3233 [4 per cell]
Ir 0.0000 0.0000 0.6633 [4 per cell]



Stability, descending: version P, version Q